# 1
PBE-GGA Y8Os2Au, relaxed; energy = -80.07 eV per cell; ΔE_f = -23 kJ per mole of atoms
1.0
-4.1421 -3.0786 -2.4354
5.7733 -5.0436 -0.6711
-2.7334 0.1822 7.1913
Y Os Au
8 2 1
Direct
0.5826 0.3395 0.0729
0.5826 0.0729 0.3395
0.1873 0.3753 0.3753
0.9911 0.2351 0.7700
0.9911 0.7700 0.2351
0.7938 0.6274 0.6274
0.3956 0.9355 0.6699
0.3956 0.6699 0.9355
0.4901 0.6920 0.3169
0.4901 0.3169 0.6920
0.0998 0.9992 0.9992

---

# 2
PBE-GGA Y2Os2Au, relaxed; polymorph energy (0 for the lowest one) = 323 kJ/mol of formula units; energy = -72.69 eV per cell; ΔE_f = 45 kJ per mole of atoms
1.0
8.3360 0.0000 0.0000
0.0000 8.3360 0.0000
0.0000 0.0000 3.0326
Y Os Au
4 4 2
Direct
0.3541 0.8541 0.0000
0.8541 0.6459 0.0000
0.6459 0.1459 0.0000
0.1459 0.3541 0.0000
0.1552 0.6552 0.5000
0.6552 0.8448 0.5000
0.8448 0.3448 0.5000
0.3448 0.1552 0.5000
0.0000 0.0000 0.0000
0.5000 0.5000 0.0000

---

# 3
PBE-GGA Y2Os2Au, relaxed; polymorph energy (0 for the lowest one) = 46 kJ/mol of formula units; energy = -39.21 eV per cell; ΔE_f = -11 kJ per mole of atoms
1.0
3.5967 0.0000 0.0000
0.0000 3.5967 0.0000
1.7984 1.7984 8.5597
Y Os Au
2 2 1
Direct
0.3939 0.3939 0.2122
0.6061 0.6061 0.7878
0.7500 0.2500 0.5000
0.2500 0.7500 0.5000
0.0000 0.0000 0.0000